! Cu2Ir2Pt PBE-GGA relaxed; values from VASP
! Excess energy over the best structure of this formula in the dataset (meV/atom): 34
! Size of the total moment (μB/f.u.): 0.00
&SYSTEM
  ibrav = 0, nat = 10, ntyp = 3
/
ATOMIC_SPECIES
Cu 63.55 Cu.upf
Ir 192.22 Ir.upf
Pt 195.08 Pt.upf
CELL_PARAMETERS angstrom
7.212 0.000 0.000
0.000 7.212 0.000
0.000 0.000 2.718
ATOMIC_POSITIONS crystal
Cu 0.118 0.382 0.000
Cu 0.382 0.882 0.000
Cu 0.618 0.118 0.000
Cu 0.882 0.618 0.000
Ir 0.179 0.679 0.500
Ir 0.321 0.179 0.500
Ir 0.679 0.821 0.500
Ir 0.821 0.321 0.500
Pt 0.000 0.000 0.000
Pt 0.500 0.500 0.000